# 1
VASP calculation (PBE-GGA) on crystalline HfNiPt3 at its relaxed geometry.

```
HfNiPt3
1.0
4.529 0.000 0.000
0.000 4.529 0.000
0.000 0.000 4.529
Ni Hf Pt
1 1 3
direct
0.000 0.000 0.000
0.500 0.500 0.500
0.000 0.500 0.000
0.000 0.000 0.500
0.500 0.000 0.000
```

Properties
E_tot in Ha/atom: -0.2358
D(E_F) in states/eV/f.u.: 5.31
Total moment in μB per formula unit: 0.1
Space-group type: Pm-3m, No. 221

***

# 2
VASP calculation (PBE-GGA) on crystalline Hf4NiPt at its relaxed geometry.

```
Hf4NiPt
1.0
-2.607 1.850 0.290
-3.038 -4.472 1.220
2.621 1.689 12.797
Hf Ni Pt
8 2 2
direct
0.500 0.172 0.343
0.000 0.328 0.157
0.500 0.828 0.657
0.000 0.672 0.843
0.000 0.661 0.344
0.500 0.839 0.156
0.000 0.339 0.656
0.500 0.161 0.844
0.500 0.500 0.500
0.000 0.000 0.000
0.000 0.000 0.500
0.500 0.500 0.000
```

Properties
E_tot in Ha/atom: -0.3266
D(E_F) in states/eV/f.u.: 6.03
Total moment in μB per formula unit: 0.0
Space-group type: C2/m, No. 12

***

# 3
VASP calculation (PBE-GGA) on crystalline HfNi3Pt at its relaxed geometry.

```
HfNi3Pt
1.0
-3.077 2.860 1.644
-2.474 -3.488 1.437
2.182 0.079 3.948
Ni Hf Pt
3 1 1
direct
0.000 0.500 0.000
0.000 0.000 0.500
0.500 0.000 0.000
0.500 0.500 0.500
0.000 0.000 0.000
```

Properties
E_tot in Ha/atom: -0.2133
D(E_F) in states/eV/f.u.: 7.86
Total moment in μB per formula unit: 0.8
Space-group type: Pm-3m, No. 221

***

# 4
VASP calculation (PBE-GGA) on crystalline Hf6NiPt3 at its relaxed geometry.

```
Hf6NiPt3
1.0
6.296 0.000 -0.088
0.000 7.013 0.000
-0.049 0.000 9.281
Hf Ni Pt
12 2 6
direct
0.653 0.155 0.932
0.650 0.183 0.571
0.684 0.447 0.259
0.316 0.553 0.741
0.350 0.817 0.429
0.347 0.845 0.068
0.153 0.345 0.432
0.150 0.317 0.071
0.184 0.053 0.759
0.816 0.947 0.241
0.850 0.683 0.929
0.847 0.655 0.568
0.500 0.500 0.500
0.000 0.000 0.000
0.566 0.871 0.732
0.500 0.500 0.000
0.434 0.129 0.268
0.066 0.629 0.232
0.000 0.000 0.500
0.934 0.371 0.768
```

Properties
E_tot in Ha/atom: -0.3273
D(E_F) in states/eV/f.u.: 9.57
Total moment in μB per formula unit: 0.0
Space-group type: P2_1/c, No. 14

***

| no. | formation enthalpy at 0 K (meV per atom) |
| --- | --- |
| 1 | 354 |
| 2 | -280 |
| 3 | 863 |
| 4 | -545 |